The following is a DFT calculation (PBE) of an optimized crystal structure of K2ZnP2O7.

abc: 7.8364 7.8364 11.1864
angles: 90.00 90.00 90.00
With the nearest neighbours (Å) after each atom.
Space group P4_2/mnm (No. 136)
Inequivalent atoms, fractional coordinates:
K  0.1473  0.1473  0.0000 (multiplicity 4)  8 O 2.78-2.80
K  0.1855  0.1855  0.5000 (multiplicity 4)  8 O 2.60-2.86
Zn  0.0000  0.5000  0.2500 (multiplicity 4)  4 O 1.97
P  0.1378  0.8622  0.2855 (multiplicity 8)  4 O 1.50-1.63
O  0.0000  0.0000  0.3371 (multiplicity 4)  2 P 1.63
O  0.0794  0.6947  0.3458 (multiplicity 16)  1 P 1.55
O  0.1368  0.8632  0.1511 (multiplicity 8)  1 P 1.50

Computed properties:
Electronic total energy, eV per cell: -300.7

=====

The following is a DFT calculation (PBE) of an optimized crystal structure of K2Zn3P4O14.

abc: 9.8076 10.0072 12.7869
angles: 90.00 90.00 90.00
With the nearest neighbours (Å) after each atom.
Space group P2_12_12_1 (No. 19)
Inequivalent atoms, fractional coordinates:
K  0.0982  0.0238  0.0034 (multiplicity 4)  7 O 2.66-2.88
K  0.2204  0.6590  0.7170 (multiplicity 4)  7 O 2.66-2.89
Zn  0.0230  0.6803  0.1362 (multiplicity 4)  4 O 1.92-1.94
Zn  0.1567  0.0174  0.7026 (multiplicity 4)  4 O 1.92-1.97
Zn  0.2003  0.4104  0.9187 (multiplicity 4)  4 O 1.94-1.97
P  0.0516  0.9074  0.2993 (multiplicity 4)  4 O 1.52-1.63
P  0.0685  0.3284  0.6925 (multiplicity 4)  4 O 1.53-1.62
P  0.0953  0.8043  0.5058 (multiplicity 4)  4 O 1.52-1.62
P  0.2248  0.2878  0.4950 (multiplicity 4)  4 O 1.52-1.63
O  0.0080  0.2735  0.2341 (multiplicity 4)  1 P 1.52
O  0.0477  0.1773  0.7021 (multiplicity 4)  1 P 1.53
O  0.0597  0.3064  0.9891 (multiplicity 4)  1 P 1.52
O  0.0661  0.4966  0.1655 (multiplicity 4)  1 P 1.53
O  0.0687  0.9012  0.8075 (multiplicity 4)  1 P 1.53
O  0.1240  0.3647  0.5763 (multiplicity 4)  2 P 1.62-1.63
O  0.1432  0.6587  0.4986 (multiplicity 4)  1 P 1.53
O  0.1466  0.1758  0.4422 (multiplicity 4)  1 P 1.52
O  0.1466  0.9762  0.2221 (multiplicity 4)  1 P 1.52
O  0.1485  0.8776  0.4002 (multiplicity 4)  2 P 1.62-1.63
O  0.1598  0.7748  0.0581 (multiplicity 4)  1 P 1.52
O  0.1683  0.8798  0.5925 (multiplicity 4)  1 P 1.52
O  0.1741  0.3853  0.7679 (multiplicity 4)  1 P 1.53
O  0.2319  0.6016  0.9199 (multiplicity 4)  1 P 1.52

Computed properties:
Electronic total energy, eV per cell: -580.7

=====

The following is a DFT calculation (PBE) of an optimized crystal structure of KZrPO.

abc: 3.7609 3.7609 9.8924
angles: 90.00 90.00 90.00
With the nearest neighbours (Å) after each atom.
Space group P4/nmm (No. 129, origin choice 2)
Inequivalent atoms, fractional coordinates:
K  0.2500  0.7500  0.0000 (multiplicity 2)  4 K 2.66
Zr  0.2500  0.2500  0.3805 (multiplicity 2)  4 O 2.22
P  0.2500  0.2500  0.7563 (multiplicity 2)  4 Zr 2.98, 4 K 3.06, 4 O 3.16
O  0.2500  0.7500  0.5000 (multiplicity 2)  4 Zr 2.22

Computed properties:
Electronic total energy, eV per cell: -49.7

=====

The following is a DFT calculation (PBE) of an optimized crystal structure of KZrP2O7.

abc: 7.2777 8.6638 4.9626
angles: 90.00 91.05 90.00
With the nearest neighbours (Å) after each atom.
Space group C2 (No. 5)
Inequivalent atoms, fractional coordinates:
K  0.0000  0.0000  0.0000 (multiplicity 2)  4 O 2.69-2.78
Zr  0.0000  0.6400  0.5000 (multiplicity 2)  6 O 2.14-2.25
P  0.1831  0.3045  0.3983 (multiplicity 4)  4 O 1.52-1.63
O  0.0000  0.2146  0.5000 (multiplicity 2)  2 P 1.63
O  0.1229  0.4574  0.2747 (multiplicity 4)  1 P 1.52
O  0.1858  0.8240  0.3574 (multiplicity 4)  1 P 1.54
O  0.2264  0.6938  0.7990 (multiplicity 4)  1 P 1.53

Computed properties:
Electronic total energy, eV per cell: -161.1

=====

The following is a DFT calculation (PBE) of an optimized crystal structure of KZr2P3O12.

abc: 8.7494 8.7494 23.9950
angles: 90.00 90.00 120.00
With the nearest neighbours (Å) after each atom.
Space group R-3c (No. 167, hexagonal axes)
Inequivalent atoms, fractional coordinates:
K  0.0000  0.0000  0.0000 (multiplicity 6)  6 O 2.81
Zr  0.0000  0.0000  0.1494 (multiplicity 12)  6 O 2.07-2.08
P  0.0000  0.2876  0.2500 (multiplicity 18)  4 O 1.53-1.54
O  0.0252  0.1974  0.9048 (multiplicity 36)  1 P 1.53
O  0.0453  0.2130  0.1986 (multiplicity 36)  1 P 1.54

Computed properties:
Electronic total energy, eV per cell: -857.0

=====

The following is a DFT calculation (PBE) of an optimized crystal structure of KZrPO.

abc: 5.2454 5.2454 5.2408
angles: 90.00 90.00 90.00
With the nearest neighbours (Å) after each atom.
Space group P4/nmm (No. 129, origin choice 2)
Inequivalent atoms, fractional coordinates:
K  0.2500  0.2500  0.0040 (multiplicity 2)  2 P 2.61-2.63, 4 O 2.62
Zr  0.2500  0.7500  0.5000 (multiplicity 2)  2 O 2.62, 4 P 2.62
P  0.2500  0.2500  0.5055 (multiplicity 2)  2 K 2.61-2.63, 4 Zr 2.62
O  0.2500  0.7500  0.0000 (multiplicity 2)  2 Zr 2.62, 4 K 2.62

Computed properties:
Electronic total energy, eV per cell: -47.6

=====

The following is a DFT calculation (PBE) of an optimized crystal structure of KZrPO.

abc: 3.6579 7.1337 7.4607
angles: 90.00 90.00 90.00
With the nearest neighbours (Å) after each atom.
Space group Pmc2_1 (No. 26)
Inequivalent atoms, fractional coordinates:
K  0.0000  0.1328  0.0000 (multiplicity 2)  2 O 2.69-2.71
Zr  0.5000  0.3387  0.4095 (multiplicity 2)  2 O 2.08
P  0.5000  0.3641  0.7398 (multiplicity 2)  2 Zr 2.47
O  0.0000  0.2137  0.3516 (multiplicity 2)  2 Zr 2.08

Computed properties:
Electronic total energy, eV per cell: -51.2

=====

The following is a DFT calculation (PBE) of an optimized crystal structure of KZrPO.

abc: 4.0236 8.1568 6.3916
angles: 90.00 90.00 90.00
With the nearest neighbours (Å) after each atom.
Space group Pmc2_1 (No. 26)
Inequivalent atoms, fractional coordinates:
K  0.0000  0.1776  0.0000 (multiplicity 2)  2 O 2.85, 1 P 3.13
Zr  0.5000  0.3878  0.5758 (multiplicity 2)  2 O 2.02-2.03
P  0.0000  0.2188  0.4874 (multiplicity 2)  2 Zr 2.50
O  0.5000  0.4105  0.8927 (multiplicity 2)  2 Zr 2.02-2.03

Computed properties:
Electronic total energy, eV per cell: -52.8

=====

Repeat the second record exactly.
The following is a DFT calculation (PBE) of an optimized crystal structure of K2Zn3P4O14.

abc: 9.8076 10.0072 12.7869
angles: 90.00 90.00 90.00
With the nearest neighbours (Å) after each atom.
Space group P2_12_12_1 (No. 19)
Inequivalent atoms, fractional coordinates:
K  0.0982  0.0238  0.0034 (multiplicity 4)  7 O 2.66-2.88
K  0.2204  0.6590  0.7170 (multiplicity 4)  7 O 2.66-2.89
Zn  0.0230  0.6803  0.1362 (multiplicity 4)  4 O 1.92-1.94
Zn  0.1567  0.0174  0.7026 (multiplicity 4)  4 O 1.92-1.97
Zn  0.2003  0.4104  0.9187 (multiplicity 4)  4 O 1.94-1.97
P  0.0516  0.9074  0.2993 (multiplicity 4)  4 O 1.52-1.63
P  0.0685  0.3284  0.6925 (multiplicity 4)  4 O 1.53-1.62
P  0.0953  0.8043  0.5058 (multiplicity 4)  4 O 1.52-1.62
P  0.2248  0.2878  0.4950 (multiplicity 4)  4 O 1.52-1.63
O  0.0080  0.2735  0.2341 (multiplicity 4)  1 P 1.52
O  0.0477  0.1773  0.7021 (multiplicity 4)  1 P 1.53
O  0.0597  0.3064  0.9891 (multiplicity 4)  1 P 1.52
O  0.0661  0.4966  0.1655 (multiplicity 4)  1 P 1.53
O  0.0687  0.9012  0.8075 (multiplicity 4)  1 P 1.53
O  0.1240  0.3647  0.5763 (multiplicity 4)  2 P 1.62-1.63
O  0.1432  0.6587  0.4986 (multiplicity 4)  1 P 1.53
O  0.1466  0.1758  0.4422 (multiplicity 4)  1 P 1.52
O  0.1466  0.9762  0.2221 (multiplicity 4)  1 P 1.52
O  0.1485  0.8776  0.4002 (multiplicity 4)  2 P 1.62-1.63
O  0.1598  0.7748  0.0581 (multiplicity 4)  1 P 1.52
O  0.1683  0.8798  0.5925 (multiplicity 4)  1 P 1.52
O  0.1741  0.3853  0.7679 (multiplicity 4)  1 P 1.53
O  0.2319  0.6016  0.9199 (multiplicity 4)  1 P 1.52

Computed properties:
Electronic total energy, eV per cell: -580.7